# 1
First-principles (GGA-PBE) data for a relaxed Gd3Mg3Ir2Pd crystal, as listed in OQMD.

```
data_Gd3Mg3Ir2Pd
_symmetry_space_group_name_H-M 'P -6 2 m'
_symmetry_Int_Tables_number 189
_symmetry_space_group_name_Hall 'P -6 -2'
_cell_length_a 7.3974
_cell_length_b 7.3974
_cell_length_c 4.0323
_cell_angle_alpha 90.00
_cell_angle_beta 90.00
_cell_angle_gamma 120.00
loop_
_atom_site_label
_atom_site_type_symbol
_atom_site_fract_x
_atom_site_fract_y
_atom_site_fract_z
_atom_site_occupancy
Gd1 Gd 0.0000 0.4167 0.0000 1
Mg1 Mg 0.0000 0.7523 0.5000 1
Ir1 Ir 0.3333 0.6667 0.5000 1
Pd1 Pd 0.0000 0.0000 0.0000 1
```

Properties
As for the total moment: 0.001 μB/atom. As for the total DFT energy (no corrections): -5.297 eV/atom.

=====

# 2
First-principles (GGA-PBE) data for a relaxed Gd3Mg3IrPd2 crystal, as listed in OQMD.

```
data_Gd3Mg3IrPd2
_symmetry_space_group_name_H-M 'P -6 2 m'
_symmetry_Int_Tables_number 189
_symmetry_space_group_name_Hall 'P -6 -2'
_cell_length_a 7.3605
_cell_length_b 7.3605
_cell_length_c 4.1668
_cell_angle_alpha 90.00
_cell_angle_beta 90.00
_cell_angle_gamma 120.00
loop_
_atom_site_label
_atom_site_type_symbol
_atom_site_fract_x
_atom_site_fract_y
_atom_site_fract_z
_atom_site_occupancy
Gd1 Gd 0.0000 0.4034 0.0000 1
Mg1 Mg 0.0000 0.7594 0.5000 1
Ir1 Ir 0.0000 0.0000 0.0000 1
Pd1 Pd 0.3333 0.6667 0.5000 1
```

Properties
As for the total moment: 0.001 μB/atom. As for the total DFT energy (no corrections): -4.876 eV/atom.

=====

# 3
First-principles (GGA-PBE) data for a relaxed PrGd2Mg3Ir2Pd crystal, as listed in OQMD.

```
data_PrGd2Mg3Ir2Pd
_symmetry_space_group_name_H-M 'A m m 2'
_symmetry_Int_Tables_number 38
_symmetry_space_group_name_Hall 'A 2 -2'
_cell_length_a 4.065
_cell_length_b 12.950
_cell_length_c 7.423
_cell_angle_alpha 90.00
_cell_angle_beta 90.00
_cell_angle_gamma 90.00
loop_
_atom_site_label
_atom_site_type_symbol
_atom_site_fract_x
_atom_site_fract_y
_atom_site_fract_z
_atom_site_occupancy
Pr1 Pr 0.000 0.000 0.000 1
Gd1 Gd 0.000 0.208 0.626 1
Mg1 Mg 0.500 0.000 0.664 1
Mg2 Mg 0.500 0.125 0.296 1
Ir1 Ir 0.500 0.171 0.917 1
Pd1 Pd 0.000 0.000 0.423 1
```

Properties
As for the total moment: 0.000 μB/atom. As for the total DFT energy (no corrections): -5.284 eV/atom.

=====

# 4
First-principles (GGA-PBE) data for a relaxed Pr2GdMg3Ir3 crystal, as listed in OQMD.

```
data_Pr2GdMg3Ir3
_symmetry_space_group_name_H-M 'A m m 2'
_symmetry_Int_Tables_number 38
_symmetry_space_group_name_Hall 'A 2 -2'
_cell_length_a 4.141
_cell_length_b 12.797
_cell_length_c 7.402
_cell_angle_alpha 90.00
_cell_angle_beta 90.00
_cell_angle_gamma 90.00
loop_
_atom_site_label
_atom_site_type_symbol
_atom_site_fract_x
_atom_site_fract_y
_atom_site_fract_z
_atom_site_occupancy
Pr1 Pr 0.000 0.206 0.000 1
Gd1 Gd 0.000 0.000 0.614 1
Mg1 Mg 0.500 0.000 0.964 1
Mg2 Mg 0.500 0.120 0.329 1
Ir1 Ir 0.000 0.000 0.211 1
Ir2 Ir 0.500 0.162 0.705 1
```

Properties
As for the total moment: 0.001 μB/atom. As for the total DFT energy (no corrections): -5.652 eV/atom.

=====

# 5
First-principles (GGA-PBE) data for a relaxed Gd3Mg3Ir2Pt crystal, as listed in OQMD.

```
data_Gd3Mg3Ir2Pt
_symmetry_space_group_name_H-M 'P -6 2 m'
_symmetry_Int_Tables_number 189
_symmetry_space_group_name_Hall 'P -6 -2'
_cell_length_a 7.3561
_cell_length_b 7.3561
_cell_length_c 4.0629
_cell_angle_alpha 90.00
_cell_angle_beta 90.00
_cell_angle_gamma 120.00
loop_
_atom_site_label
_atom_site_type_symbol
_atom_site_fract_x
_atom_site_fract_y
_atom_site_fract_z
_atom_site_occupancy
Gd1 Gd 0.0000 0.4135 0.0000 1
Mg1 Mg 0.0000 0.7529 0.5000 1
Ir1 Ir 0.3333 0.6667 0.5000 1
Pt1 Pt 0.0000 0.0000 0.0000 1
```

Properties
As for the total moment: 0.001 μB/atom. As for the total DFT energy (no corrections): -5.479 eV/atom.

=====

# 6
First-principles (GGA-PBE) data for a relaxed Gd3Mg3IrPt2 crystal, as listed in OQMD.

```
data_Gd3Mg3IrPt2
_symmetry_space_group_name_H-M 'P -6 2 m'
_symmetry_Int_Tables_number 189
_symmetry_space_group_name_Hall 'P -6 -2'
_cell_length_a 7.3476
_cell_length_b 7.3476
_cell_length_c 4.1305
_cell_angle_alpha 90.00
_cell_angle_beta 90.00
_cell_angle_gamma 120.00
loop_
_atom_site_label
_atom_site_type_symbol
_atom_site_fract_x
_atom_site_fract_y
_atom_site_fract_z
_atom_site_occupancy
Gd1 Gd 0.0000 0.4053 0.0000 1
Mg1 Mg 0.0000 0.7582 0.5000 1
Ir1 Ir 0.0000 0.0000 0.0000 1
Pt1 Pt 0.3333 0.6667 0.5000 1
```

Properties
As for the total moment: 0.001 μB/atom. As for the total DFT energy (no corrections): -5.250 eV/atom.

=====

# 7
First-principles (GGA-PBE) data for a relaxed SmGd2Mg3Ir2Pt crystal, as listed in OQMD.

```
data_SmGd2Mg3Ir2Pt
_symmetry_space_group_name_H-M 'A m m 2'
_symmetry_Int_Tables_number 38
_symmetry_space_group_name_Hall 'A 2 -2'
_cell_length_a 4.060
_cell_length_b 12.807
_cell_length_c 7.378
_cell_angle_alpha 90.00
_cell_angle_beta 90.00
_cell_angle_gamma 90.00
loop_
_atom_site_label
_atom_site_type_symbol
_atom_site_fract_x
_atom_site_fract_y
_atom_site_fract_z
_atom_site_occupancy
Sm1 Sm 0.000 0.000 0.000 1
Gd1 Gd 0.000 0.206 0.621 1
Mg1 Mg 0.500 0.000 0.661 1
Mg2 Mg 0.500 0.123 0.292 1
Ir1 Ir 0.500 0.168 0.914 1
Pt1 Pt 0.000 0.000 0.417 1
```

Properties
As for the total moment: 0.000 μB/atom. As for the total DFT energy (no corrections): -5.476 eV/atom.

=====

# 8
First-principles (GGA-PBE) data for a relaxed Sm2GdMg3Ir2Pt crystal, as listed in OQMD.

```
data_Sm2GdMg3Ir2Pt
_symmetry_space_group_name_H-M 'A m m 2'
_symmetry_Int_Tables_number 38
_symmetry_space_group_name_Hall 'A 2 -2'
_cell_length_a 4.073
_cell_length_b 12.817
_cell_length_c 7.415
_cell_angle_alpha 90.00
_cell_angle_beta 90.00
_cell_angle_gamma 90.00
loop_
_atom_site_label
_atom_site_type_symbol
_atom_site_fract_x
_atom_site_fract_y
_atom_site_fract_z
_atom_site_occupancy
Sm1 Sm 0.000 0.207 0.000 1
Gd1 Gd 0.000 0.000 0.620 1
Mg1 Mg 0.500 0.000 0.961 1
Mg2 Mg 0.500 0.123 0.330 1
Ir1 Ir 0.500 0.165 0.706 1
Pt1 Pt 0.000 0.000 0.209 1
```

Properties
As for the total moment: 0.001 μB/atom. As for the total DFT energy (no corrections): -5.472 eV/atom.